Entry 1:
# GGA-PBE B3C, optimized geometry
# * formation energy: 0.412 eV/atom
data_B3C
_chemical_formula_sum 'B9 C3'
_cell_length_a 2.3471
_cell_length_b 2.4441
_cell_length_c 14.4775
_cell_angle_alpha 90.00
_cell_angle_beta 90.00
_cell_angle_gamma 90.00
_symmetry_space_group_name_H-M 'P m m 2'
_symmetry_Int_Tables_number 25
loop_
_symmetry_equiv_pos_as_xyz
'x,y,z'
'-x,-y,z'
'-x,y,z'
'x,-y,z'
loop_
_atom_site_label
_atom_site_fract_x
_atom_site_fract_y
_atom_site_fract_z
B1 0.0000 0.0000 0.0000
B2 0.0000 0.0000 0.3043
B3 0.0000 0.0000 0.6680
B4 0.0000 0.5000 0.3931
B5 0.0000 0.5000 0.7592
B6 0.5000 0.0000 0.2110
B7 0.5000 0.0000 0.5760
B8 0.5000 0.0000 0.9047
B9 0.5000 0.5000 0.4865
C1 0.0000 0.5000 0.0760
C2 0.5000 0.5000 0.1352
C3 0.5000 0.5000 0.8356

Entry 2:
# GGA-PBE B7C5, optimized geometry
# * formation energy: 0.557 eV/atom
data_B7C5
_chemical_formula_sum 'B7 C5'
_cell_length_a 2.6406
_cell_length_b 2.6406
_cell_length_c 13.9264
_cell_angle_alpha 90.00
_cell_angle_beta 90.00
_cell_angle_gamma 120.00
_symmetry_space_group_name_H-M 'P 3 m 1'
_symmetry_Int_Tables_number 156
loop_
_symmetry_equiv_pos_as_xyz
'x,y,z'
'-y,x-y,z'
'-x+y,-x,z'
'-y,-x,z'
'-x+y,y,z'
'x,x-y,z'
loop_
_atom_site_label
_atom_site_fract_x
_atom_site_fract_y
_atom_site_fract_z
B1 0.0000 0.0000 0.0000
B2 0.0000 0.0000 0.1218
B3 0.0000 0.0000 0.4706
B4 0.0000 0.0000 0.5953
B5 0.3333 0.6667 0.6539
B6 0.3333 0.6667 0.7947
B7 0.6667 0.3333 0.9228
C1 0.3333 0.6667 0.1711
C2 0.3333 0.6667 0.2779
C3 0.6667 0.3333 0.3183
C4 0.6667 0.3333 0.4261
C5 0.6667 0.3333 0.8103

Entry 3:
# GGA-PBE B7C5, optimized geometry
# * formation energy: 0.433 eV/atom
data_B7C5
_chemical_formula_sum 'B14 C10'
_cell_length_a 13.4889
_cell_length_b 2.5566
_cell_length_c 4.8466
_cell_angle_alpha 90.00
_cell_angle_beta 100.27
_cell_angle_gamma 90.00
_symmetry_space_group_name_H-M 'C 1 m 1'
_symmetry_Int_Tables_number 8
loop_
_symmetry_equiv_pos_as_xyz
'x,y,z'
'x,-y,z'
'x+1/2,y+1/2,z'
'x+1/2,-y+1/2,z'
loop_
_atom_site_label
_atom_site_fract_x
_atom_site_fract_y
_atom_site_fract_z
B1 0.0000 0.0000 0.0000
B2 0.0007 0.0000 0.4285
B3 0.0969 0.5000 0.4777
B4 0.0986 0.5000 0.0412
B5 0.1902 0.5000 0.8124
B6 0.3359 0.0000 0.1334
B7 0.4050 0.5000 0.6618
C1 0.1929 0.5000 0.3160
C2 0.2561 0.0000 0.3483
C3 0.2615 0.0000 0.8362
C4 0.3310 0.0000 0.6298
C5 0.4084 0.5000 0.1742

Entry 4:
# GGA-PBE BC, optimized geometry
# * formation energy: 0.411 eV/atom
data_BC
_chemical_formula_sum 'B6 C6'
_cell_length_a 4.7584
_cell_length_b 2.6555
_cell_length_c 6.5339
_cell_angle_alpha 90.00
_cell_angle_beta 91.65
_cell_angle_gamma 90.00
_symmetry_space_group_name_H-M 'P 1 m 1'
_symmetry_Int_Tables_number 6
loop_
_symmetry_equiv_pos_as_xyz
'x,y,z'
'x,-y,z'
loop_
_atom_site_label
_atom_site_fract_x
_atom_site_fract_y
_atom_site_fract_z
B1 0.0000 0.0000 0.0000
B2 0.0029 0.0000 0.3612
B3 0.1200 0.5000 0.7290
B4 0.3349 0.0000 0.6187
B5 0.3649 0.0000 0.3348
B6 0.4945 0.5000 0.0403
C1 0.1634 0.5000 0.9694
C2 0.5292 0.5000 0.3054
C3 0.6572 0.0000 0.7119
C4 0.6632 0.0000 0.9493
C5 0.8071 0.5000 0.6336
C6 0.8254 0.5000 0.3967

Entry 5:
# GGA-PBE B3C2, optimized geometry
# * formation energy: 0.360 eV/atom
data_B3C2
_chemical_formula_sum 'B12 C8'
_cell_length_a 2.4327
_cell_length_b 2.4327
_cell_length_c 22.7661
_cell_angle_alpha 90.00
_cell_angle_beta 90.00
_cell_angle_gamma 90.00
_symmetry_space_group_name_H-M 'I 41/a m d'
_symmetry_Int_Tables_number 141
loop_
_symmetry_equiv_pos_as_xyz
'x,y,z'
'-x,-y,-z'
'-y+1/4,x+3/4,z+1/4'
'y+1/4,-x+3/4,-z+1/4'
'-x+1/2,-y,z+1/2'
'x+1/2,y,-z+1/2'
'y+1/4,-x+1/4,z+3/4'
'-y+1/4,x+1/4,-z+3/4'
'x,-y,-z'
'-x,y,z'
'-y+1/4,-x+1/4,-z+3/4'
'y+1/4,x+1/4,z+3/4'
'-x+1/2,y,-z+1/2'
'x+1/2,-y,z+1/2'
'y+1/4,x+3/4,-z+1/4'
'-y+1/4,-x+3/4,z+1/4'
'x+1/2,y+1/2,z+1/2'
'-x+1/2,-y+1/2,-z+1/2'
'-y+3/4,x+1/4,z+3/4'
'y+3/4,-x+1/4,-z+3/4'
'-x,-y+1/2,z'
'x,y+1/2,-z'
'y+3/4,-x+3/4,z+1/4'
'-y+3/4,x+3/4,-z+1/4'
'x+1/2,-y+1/2,-z+1/2'
'-x+1/2,y+1/2,z+1/2'
'-y+3/4,-x+3/4,-z+1/4'
'y+3/4,x+3/4,z+1/4'
'-x,y+1/2,-z'
'x,-y+1/2,z'
'y+3/4,x+1/4,-z+3/4'
'-y+3/4,-x+1/4,z+3/4'
loop_
_atom_site_label
_atom_site_fract_x
_atom_site_fract_y
_atom_site_fract_z
B1 0.0000 0.2500 0.0674
B2 0.0000 0.2500 0.8750
C1 0.0000 0.2500 0.2683

Entry 6:
# GGA-PBE B3C2, optimized geometry
# * formation energy: 0.413 eV/atom
data_B3C2
_chemical_formula_sum 'B12 C8'
_cell_length_a 2.4392
_cell_length_b 2.4392
_cell_length_c 22.7536
_cell_angle_alpha 90.00
_cell_angle_beta 90.00
_cell_angle_gamma 90.00
_symmetry_space_group_name_H-M 'I -4 m 2'
_symmetry_Int_Tables_number 119
_symmetry_space_group_name_Hall 'I -4 -2'
loop_
_atom_site_label
_atom_site_fract_x
_atom_site_fract_y
_atom_site_fract_z
B1 0.0000 0.0000 0.0877
B2 0.0000 0.0000 0.2961
B3 0.0000 0.5000 0.6452
C1 0.0000 0.0000 0.5000
C2 0.0000 0.5000 0.0394
C3 0.0000 0.5000 0.2500

Entry 7:
# GGA-PBE B7C5, optimized geometry
# * formation energy: 0.305 eV/atom
data_B7C5
_chemical_formula_sum 'B7 C5'
_cell_length_a 4.2116
_cell_length_b 5.2556
_cell_length_c 5.5442
_cell_angle_alpha 61.73
_cell_angle_beta 73.37
_cell_angle_gamma 71.66
_symmetry_space_group_name_H-M 'P 1'
_symmetry_Int_Tables_number 1
loop_
_symmetry_equiv_pos_as_xyz
'x,y,z'
loop_
_atom_site_label
_atom_site_fract_x
_atom_site_fract_y
_atom_site_fract_z
B1 0.0000 0.0000 0.0000
B2 0.0027 0.4904 0.0171
B3 0.0320 0.6562 0.6742
B4 0.2466 0.5868 0.1898
B5 0.2497 0.1028 0.1928
B6 0.7958 0.6614 0.2797
B7 0.8024 0.1622 0.2771
C1 0.0256 0.4706 0.5281
C2 0.0290 0.9897 0.5279
C3 0.0327 0.1576 0.6704
C4 0.6304 0.4992 0.1873
C5 0.6357 0.9980 0.1883

Entry 8:
# GGA-PBE B3C, optimized geometry
# * formation energy: 0.327 eV/atom
data_B3C
_chemical_formula_sum 'B18 C6'
_cell_length_a 12.6813
_cell_length_b 2.7380
_cell_length_c 5.6283
_cell_angle_alpha 90.00
_cell_angle_beta 115.61
_cell_angle_gamma 90.00
_symmetry_space_group_name_H-M 'C 1 m 1'
_symmetry_Int_Tables_number 8
loop_
_symmetry_equiv_pos_as_xyz
'x,y,z'
'x,-y,z'
'x+1/2,y+1/2,z'
'x+1/2,-y+1/2,z'
loop_
_atom_site_label
_atom_site_fract_x
_atom_site_fract_y
_atom_site_fract_z
B1 0.0000 0.0000 0.0000
B2 0.0015 0.5000 0.7876
B3 0.0653 0.5000 0.5788
B4 0.1774 0.5000 0.2040
B5 0.2318 0.0000 0.8249
B6 0.3442 0.5000 0.3039
B7 0.3603 0.5000 0.0016
B8 0.3860 0.0000 0.4942
B9 0.3896 0.0000 0.8402
C1 0.1177 0.0000 0.5300
C2 0.1259 0.0000 0.2649
C3 0.2384 0.5000 0.0036

Entry 9:
# GGA-PBE BC, optimized geometry
# * formation energy: 0.246 eV/atom
data_BC
_chemical_formula_sum 'B3 C3'
_cell_length_a 2.7032
_cell_length_b 2.7032
_cell_length_c 7.8272
_cell_angle_alpha 90.00
_cell_angle_beta 90.00
_cell_angle_gamma 120.00
_symmetry_space_group_name_H-M 'P 3 m 1'
_symmetry_Int_Tables_number 156
loop_
_symmetry_equiv_pos_as_xyz
'x,y,z'
'-y,x-y,z'
'-x+y,-x,z'
'-y,-x,z'
'-x+y,y,z'
'x,x-y,z'
loop_
_atom_site_label
_atom_site_fract_x
_atom_site_fract_y
_atom_site_fract_z
B1 0.0000 0.0000 0.0000
B2 0.0000 0.0000 0.4636
B3 0.3333 0.6667 0.6919
C1 0.3333 0.6667 0.4814
C2 0.6667 0.3333 0.7774
C3 0.6667 0.3333 0.9756

Entry 10:
# GGA-PBE B3C5, optimized geometry
# * formation energy: 0.380 eV/atom
data_B3C5
_chemical_formula_sum 'B3 C5'
_cell_length_a 2.4639
_cell_length_b 5.2188
_cell_length_c 4.0078
_cell_angle_alpha 90.00
_cell_angle_beta 90.00
_cell_angle_gamma 90.00
_symmetry_space_group_name_H-M 'P m m 2'
_symmetry_Int_Tables_number 25
loop_
_symmetry_equiv_pos_as_xyz
'x,y,z'
'-x,-y,z'
'-x,y,z'
'x,-y,z'
loop_
_atom_site_label
_atom_site_fract_x
_atom_site_fract_y
_atom_site_fract_z
B1 0.0000 0.0000 0.0000
B2 0.5000 0.2561 0.4962
C1 0.0000 0.2600 0.2141
C2 0.0000 0.5000 0.9877
C3 0.5000 0.0000 0.7218
C4 0.5000 0.5000 0.7633

Entry 11:
# GGA-PBE BC, optimized geometry
# * formation energy: 0.337 eV/atom
data_BC
_chemical_formula_sum 'B6 C6'
_cell_length_a 3.7015
_cell_length_b 4.7312
_cell_length_c 5.4570
_cell_angle_alpha 73.42
_cell_angle_beta 89.66
_cell_angle_gamma 67.62
_symmetry_space_group_name_H-M 'P 1'
_symmetry_Int_Tables_number 1
loop_
_symmetry_equiv_pos_as_xyz
'x,y,z'
loop_
_atom_site_label
_atom_site_fract_x
_atom_site_fract_y
_atom_site_fract_z
B1 0.0000 0.0000 0.0000
B2 0.0098 0.9830 0.6017
B3 0.2966 0.3212 0.7189
B4 0.5936 0.6109 0.4065
B5 0.6186 0.6778 0.8730
B6 0.7077 0.3200 0.1999
C1 0.0254 0.3220 0.4401
C2 0.0305 0.3347 0.9873
C3 0.2631 0.3577 0.2069
C4 0.3473 0.6774 0.1427
C5 0.3669 0.6625 0.6341
C6 0.6975 0.0021 0.8006

Entry 12:
# GGA-PBE B7C5, optimized geometry
# * formation energy: 0.390 eV/atom
data_B7C5
_chemical_formula_sum 'B14 C10'
_cell_length_a 10.4584
_cell_length_b 4.4773
_cell_length_c 3.4166
_cell_angle_alpha 90.00
_cell_angle_beta 95.48
_cell_angle_gamma 90.00
_symmetry_space_group_name_H-M 'C 1 2 1'
_symmetry_Int_Tables_number 5
loop_
_symmetry_equiv_pos_as_xyz
'x,y,z'
'-x,y,-z'
'x+1/2,y+1/2,z'
'-x+1/2,y+1/2,-z'
loop_
_atom_site_label
_atom_site_fract_x
_atom_site_fract_y
_atom_site_fract_z
B1 0.0000 0.0000 0.0000
B2 0.0951 0.6737 0.2817
B3 0.1434 0.0042 0.4810
B4 0.2313 0.7123 0.7460
C1 0.0000 0.4510 0.5000
C2 0.0860 0.2530 0.7547
C3 0.1775 0.4459 0.0082

Entry 13:
# GGA-PBE BC, optimized geometry
# * formation energy: 0.460 eV/atom
data_BC
_chemical_formula_sum 'B6 C6'
_cell_length_a 2.5470
_cell_length_b 2.5470
_cell_length_c 14.2848
_cell_angle_alpha 90.00
_cell_angle_beta 90.00
_cell_angle_gamma 120.00
_symmetry_space_group_name_H-M 'P 3 m 1'
_symmetry_Int_Tables_number 156
loop_
_symmetry_equiv_pos_as_xyz
'x,y,z'
'-y,x-y,z'
'-x+y,-x,z'
'-y,-x,z'
'-x+y,y,z'
'x,x-y,z'
loop_
_atom_site_label
_atom_site_fract_x
_atom_site_fract_y
_atom_site_fract_z
B1 0.0000 0.0000 0.0000
B2 0.0000 0.0000 0.1180
B3 0.3333 0.6667 0.1941
B4 0.6667 0.3333 0.4534
B5 0.6667 0.3333 0.8027
B6 0.6667 0.3333 0.9215
C1 0.0000 0.0000 0.5034
C2 0.0000 0.0000 0.6079
C3 0.3333 0.6667 0.3043
C4 0.3333 0.6667 0.6469
C5 0.3333 0.6667 0.7512
C6 0.6667 0.3333 0.3410

Entry 14:
# GGA-PBE BC, optimized geometry
# * formation energy: 0.457 eV/atom
data_BC
_chemical_formula_sum 'B12 C12'
_cell_length_a 2.6424
_cell_length_b 2.6424
_cell_length_c 26.6776
_cell_angle_alpha 90.00
_cell_angle_beta 90.00
_cell_angle_gamma 120.00
_symmetry_space_group_name_H-M 'R 3 m'
_symmetry_Int_Tables_number 160
_symmetry_space_group_name_Hall 'R 3 -2"'
loop_
_atom_site_label
_atom_site_fract_x
_atom_site_fract_y
_atom_site_fract_z
B1 0.0000 0.0000 0.0000
B2 0.0000 0.0000 0.0686
B3 0.0000 0.0000 0.2601
B4 0.0000 0.0000 0.7681
C1 0.0000 0.0000 0.3260
C2 0.0000 0.0000 0.5148
C3 0.0000 0.0000 0.5718
C4 0.0000 0.0000 0.8280

Entry 15:
# GGA-PBE BC, optimized geometry
# * formation energy: 0.434 eV/atom
data_BC
_chemical_formula_sum 'B6 C6'
_cell_length_a 2.6384
_cell_length_b 2.6384
_cell_length_c 15.4112
_cell_angle_alpha 90.00
_cell_angle_beta 90.00
_cell_angle_gamma 120.00
_symmetry_space_group_name_H-M 'P 3 m 1'
_symmetry_Int_Tables_number 156
loop_
_symmetry_equiv_pos_as_xyz
'x,y,z'
'-y,x-y,z'
'-x+y,-x,z'
'-y,-x,z'
'-x+y,y,z'
'x,x-y,z'
loop_
_atom_site_label
_atom_site_fract_x
_atom_site_fract_y
_atom_site_fract_z
B1 0.0000 0.0000 0.0000
B2 0.0000 0.0000 0.1099
B3 0.0000 0.0000 0.6814
B4 0.3333 0.6667 0.1798
B5 0.3333 0.6667 0.2929
B6 0.6667 0.3333 0.5636
C1 0.0000 0.0000 0.5743
C2 0.3333 0.6667 0.7251
C3 0.3333 0.6667 0.8217
C4 0.6667 0.3333 0.2954
C5 0.6667 0.3333 0.8584
C6 0.6667 0.3333 0.9548

Entry 16:
# GGA-PBE B7C5, optimized geometry
# * formation energy: 0.397 eV/atom
data_B7C5
_chemical_formula_sum 'B14 C10'
_cell_length_a 13.8249
_cell_length_b 2.5056
_cell_length_c 5.0377
_cell_angle_alpha 90.00
_cell_angle_beta 104.25
_cell_angle_gamma 90.00
_symmetry_space_group_name_H-M 'C 1 m 1'
_symmetry_Int_Tables_number 8
loop_
_symmetry_equiv_pos_as_xyz
'x,y,z'
'x,-y,z'
'x+1/2,y+1/2,z'
'x+1/2,-y+1/2,z'
loop_
_atom_site_label
_atom_site_fract_x
_atom_site_fract_y
_atom_site_fract_z
B1 0.0000 0.0000 0.0000
B2 0.0127 0.5000 0.3993
B3 0.1336 0.0000 0.0597
B4 0.1731 0.5000 0.3200
B5 0.2796 0.0000 0.9229
B6 0.3375 0.5000 0.1898
B7 0.4287 0.0000 0.8044
C1 0.1240 0.5000 0.5931
C2 0.1522 0.0000 0.7577
C3 0.2929 0.5000 0.4615
C4 0.3210 0.0000 0.6285
C5 0.4584 0.5000 0.2733

Entry 17:
# GGA-PBE B3C, optimized geometry
# * formation energy: 0.534 eV/atom
data_B3C
_chemical_formula_sum 'B9 C3'
_cell_length_a 2.7405
_cell_length_b 2.7405
_cell_length_c 16.5936
_cell_angle_alpha 90.00
_cell_angle_beta 90.00
_cell_angle_gamma 120.00
_symmetry_space_group_name_H-M 'P 3 m 1'
_symmetry_Int_Tables_number 156
loop_
_symmetry_equiv_pos_as_xyz
'x,y,z'
'-y,x-y,z'
'-x+y,-x,z'
'-y,-x,z'
'-x+y,y,z'
'x,x-y,z'
loop_
_atom_site_label
_atom_site_fract_x
_atom_site_fract_y
_atom_site_fract_z
B1 0.0000 0.0000 0.0000
B2 0.0000 0.0000 0.1008
B3 0.0000 0.0000 0.4862
B4 0.0000 0.0000 0.6015
B5 0.3333 0.6667 0.1621
B6 0.3333 0.6667 0.8370
B7 0.6667 0.3333 0.2633
B8 0.6667 0.3333 0.4704
B9 0.6667 0.3333 0.9385
C1 0.3333 0.6667 0.2569
C2 0.3333 0.6667 0.6046
C3 0.6667 0.3333 0.8438

Entry 18:
# GGA-PBE BC, optimized geometry
# * formation energy: 0.461 eV/atom
data_BC
_chemical_formula_sum 'B6 C6'
_cell_length_a 2.5949
_cell_length_b 2.5949
_cell_length_c 13.8680
_cell_angle_alpha 90.00
_cell_angle_beta 90.00
_cell_angle_gamma 120.00
_symmetry_space_group_name_H-M 'P 3 m 1'
_symmetry_Int_Tables_number 156
loop_
_symmetry_equiv_pos_as_xyz
'x,y,z'
'-y,x-y,z'
'-x+y,-x,z'
'-y,-x,z'
'-x+y,y,z'
'x,x-y,z'
loop_
_atom_site_label
_atom_site_fract_x
_atom_site_fract_y
_atom_site_fract_z
B1 0.0000 0.0000 0.0000
B2 0.0000 0.0000 0.1228
B3 0.0000 0.0000 0.5973
B4 0.3333 0.6667 0.7603
B5 0.6667 0.3333 0.4372
B6 0.6667 0.3333 0.9216
C1 0.0000 0.0000 0.4829
C2 0.3333 0.6667 0.1715
C3 0.3333 0.6667 0.2821
C4 0.3333 0.6667 0.6466
C5 0.6667 0.3333 0.3179
C6 0.6667 0.3333 0.8104

Entry 19:
# GGA-PBE BC, optimized geometry
# * formation energy: 0.337 eV/atom
data_BC
_chemical_formula_sum 'B12 C12'
_cell_length_a 8.5869
_cell_length_b 2.5187
_cell_length_c 8.3120
_cell_angle_alpha 90.00
_cell_angle_beta 119.11
_cell_angle_gamma 90.00
_symmetry_space_group_name_H-M 'C 1 m 1'
_symmetry_Int_Tables_number 8
loop_
_symmetry_equiv_pos_as_xyz
'x,y,z'
'x,-y,z'
'x+1/2,y+1/2,z'
'x+1/2,-y+1/2,z'
loop_
_atom_site_label
_atom_site_fract_x
_atom_site_fract_y
_atom_site_fract_z
B1 0.0000 0.0000 0.0000
B2 0.0420 0.5000 0.3162
B3 0.1408 0.5000 0.1599
B4 0.1974 0.0000 0.6479
B5 0.2882 0.5000 0.3801
B6 0.3662 0.5000 0.1872
C1 0.0005 0.0000 0.8002
C2 0.0792 0.5000 0.5277
C3 0.1993 0.0000 0.8636
C4 0.2962 0.5000 0.9592
C5 0.3945 0.0000 0.5034
C6 0.4039 0.0000 0.6963

Entry 20:
# GGA-PBE BC, optimized geometry
# * formation energy: 0.403 eV/atom
data_BC
_chemical_formula_sum 'B6 C6'
_cell_length_a 3.8449
_cell_length_b 4.5121
_cell_length_c 5.4524
_cell_angle_alpha 107.37
_cell_angle_beta 94.09
_cell_angle_gamma 114.22
_symmetry_space_group_name_H-M 'P 1'
_symmetry_Int_Tables_number 1
loop_
_symmetry_equiv_pos_as_xyz
'x,y,z'
loop_
_atom_site_label
_atom_site_fract_x
_atom_site_fract_y
_atom_site_fract_z
B1 0.0000 0.0000 0.0000
B2 0.0397 0.8463 0.2454
B3 0.1826 0.5767 0.6265
B4 0.2529 0.5255 0.1638
B5 0.5242 0.2318 0.2972
B6 0.5804 0.5967 0.9697
C1 0.1644 0.9404 0.7408
C2 0.4771 0.5862 0.4448
C3 0.5725 0.2409 0.7953
C4 0.7884 0.2972 0.0744
C5 0.7944 0.2293 0.5760
C6 0.8703 0.9021 0.5050

no.,magnetic moment (μB per cell)
1,0.00
2,0.00
3,0.00
4,0.00
5,0.00
6,0.00
7,0.00
8,0.00
9,0.00
10,0.00
11,0.00
12,0.00
13,0.00
14,0.00
15,0.00
16,0.00
17,0.00
18,0.00
19,0.00
20,0.00